A relaxed Hg3BiPd12 crystal. Source: the Alexandria database, functional PBE.

VASP energy: -69.51 eV per cell
V: 270.3 Å³/f.u.
formation energy: -151 meV per atom
total moment: 0.0 μB/f.u.

Lattice parameters (Å, degrees): 4.085 4.085 16.200 90.00 90.00 90.00
Atoms (fractional coordinates):
Hg: 0.000 0.000 0.000
Hg: 0.000 0.000 0.246
Hg: 0.000 0.000 0.754
Bi: 0.000 0.000 0.500
Pd: 0.000 0.500 0.123
Pd: 0.000 0.500 0.372
Pd: 0.000 0.500 0.628
Pd: 0.000 0.500 0.877
Pd: 0.500 0.000 0.123
Pd: 0.500 0.000 0.372
Pd: 0.500 0.000 0.628
Pd: 0.500 0.000 0.877
Pd: 0.500 0.500 0.000
Pd: 0.500 0.500 0.248
Pd: 0.500 0.500 0.500
Pd: 0.500 0.500 0.752

=====

A relaxed Tb3Ho2Mg2 crystal. Source: the Alexandria database, functional PBE.

VASP energy: -25.95 eV per cell
V: 208.6 Å³/f.u.
formation energy: 41 meV per atom
total moment: 0.0 μB/f.u.

Lattice parameters (Å, degrees): 11.775 11.775 3.466 90.00 90.00 154.28
Atoms (fractional coordinates):
Tb: 0.000 0.000 0.000
Tb: 0.150 0.850 0.000
Tb: 0.850 0.150 0.000
Ho: 0.288 0.712 0.500
Ho: 0.712 0.288 0.500
Mg: 0.431 0.569 0.500
Mg: 0.569 0.431 0.500